Computed, not measured: AcPbAu after structural relaxation at the GGA-PBE level of DFT.

```
data_AcPbAu
_chemical_formula_sum 'Ac2 Pb2 Au2'
_symmetry_space_group_name_H-M 'I 4 m m'
_symmetry_Int_Tables_number 107
_symmetry_space_group_name_Hall 'I 4 -2'
_cell_length_a 3.734
_cell_length_b 3.734
_cell_length_c 16.133
_cell_angle_alpha 90.00
_cell_angle_beta 90.00
_cell_angle_gamma 90.00
loop_
_atom_site_label
_atom_site_type_symbol
_atom_site_fract_x
_atom_site_fract_y
_atom_site_fract_z
Ac1 Ac 0.000 0.000 0.000
Pb1 Pb 0.000 0.000 0.641
Au1 Au 0.000 0.000 0.818
```

Calculated values
The calculation puts the total magnetic moment at 0.000 μB/atom. For the formation energy, the calculation gives 0.1977 eV/atom. Its total energy is -3.50 eV per atom. Its energy above the most stable polymorph in this dataset is 0.888 eV per atom.



Computed, not measured: Tl2PbAu after structural relaxation at the GGA-PBE level of DFT.

```
data_Tl2PbAu
_chemical_formula_sum 'Tl2 Pb1 Au1'
_symmetry_space_group_name_H-M 'P 1 m 1'
_symmetry_Int_Tables_number 6
_symmetry_space_group_name_Hall 'P -2y'
_cell_length_a 3.758
_cell_length_b 3.902
_cell_length_c 8.029
_cell_angle_alpha 90.00
_cell_angle_beta 101.53
_cell_angle_gamma 90.00
loop_
_atom_site_label
_atom_site_type_symbol
_atom_site_fract_x
_atom_site_fract_y
_atom_site_fract_z
Tl1 Tl 0.000 0.000 0.000
Tl2 Tl 0.360 0.500 0.714
Pb1 Pb 0.737 0.000 0.441
Au1 Au 0.569 0.500 0.166
```

Calculated values
The calculation puts the total magnetic moment at 0.000 μB/atom. For the formation energy, the calculation gives 0.0121 eV/atom. Its total energy is -2.92 eV per atom.



Computed, not measured: NbBiP2S after structural relaxation at the GGA-PBE level of DFT.

```
data_NbBiP2S
_chemical_formula_sum 'Nb1 Bi1 P2 S1'
_symmetry_space_group_name_H-M 'P 4/m m m'
_symmetry_Int_Tables_number 123
_symmetry_space_group_name_Hall '-P 4 2'
_cell_length_a 5.109
_cell_length_b 5.109
_cell_length_c 5.107
_cell_angle_alpha 90.00
_cell_angle_beta 90.00
_cell_angle_gamma 90.00
loop_
_atom_site_label
_atom_site_type_symbol
_atom_site_fract_x
_atom_site_fract_y
_atom_site_fract_z
Nb1 Nb 0.000 0.000 0.000
Bi1 Bi 0.500 0.500 0.500
P1 P 0.000 0.500 0.500
S1 S 0.500 0.500 0.000
```

Calculated values
The formation energy without anion corrections is 1.44 eV/atom. The calculation puts the total magnetic moment at 0.307 μB/atom. Its total energy is -4.33 eV per atom. Its energy above the most stable polymorph in this dataset is 1.268 eV per atom.



Computed, not measured: MnSbPt after structural relaxation at the GGA-PBE level of DFT.

```
data_MnSbPt
_chemical_formula_sum 'Mn1 Sb1 Pt1'
_symmetry_space_group_name_H-M 'P 3 m 1'
_symmetry_Int_Tables_number 156
_symmetry_space_group_name_Hall 'P 3 -2"'
_cell_length_a 4.1865
_cell_length_b 4.1865
_cell_length_c 3.7561
_cell_angle_alpha 90.00
_cell_angle_beta 90.00
_cell_angle_gamma 120.00
loop_
_atom_site_label
_atom_site_type_symbol
_atom_site_fract_x
_atom_site_fract_y
_atom_site_fract_z
Mn1 Mn 0.0000 0.0000 0.0000
Sb1 Sb 0.3333 0.6667 0.6063
Pt1 Pt 0.6667 0.3333 0.2967
```

Calculated values
The formation energy without anion corrections is -0.05 eV/atom. The calculation puts the total magnetic moment at 1.174 μB/atom. Its total energy is -6.49 eV per atom. Its energy above the most stable polymorph in this dataset is 0.323 eV per atom.



Computed, not measured: Rb2PtC4N4Cl2 after structural relaxation at the GGA-PBE level of DFT.

```
data_Rb2PtC4N4Cl2
_chemical_formula_sum 'Rb4 Pt2 C8 N8 Cl4'
_symmetry_space_group_name_H-M 'P -1'
_symmetry_Int_Tables_number 2
_symmetry_space_group_name_Hall '-P 1'
_cell_length_a 6.990
_cell_length_b 9.548
_cell_length_c 10.001
_cell_angle_alpha 86.59
_cell_angle_beta 75.67
_cell_angle_gamma 74.18
loop_
_atom_site_label
_atom_site_type_symbol
_atom_site_fract_x
_atom_site_fract_y
_atom_site_fract_z
Rb1 Rb 0.141 0.164 0.049
Rb2 Rb 0.270 0.361 0.555
Pt1 Pt 0.000 0.000 0.500
Pt2 Pt 0.500 0.500 0.000
C1 C 0.067 0.067 0.667
C2 C 0.172 0.797 0.523
C3 C 0.292 0.495 0.180
C4 C 0.405 0.719 0.996
N1 N 0.108 0.106 0.762
N2 N 0.170 0.488 0.282
N3 N 0.273 0.680 0.537
N4 N 0.355 0.847 0.992
Cl1 Cl 0.252 0.485 0.881
Cl2 Cl 0.293 0.059 0.357
```

Calculated values
The formation energy without anion corrections is -0.24 eV/atom. The calculation puts the total magnetic moment at 0.000 μB/atom. Its total energy is -6.54 eV per atom.



Computed, not measured: DySb2Pd7 after structural relaxation at the GGA-PBE level of DFT.

```
data_DySb2Pd7
_chemical_formula_sum 'Dy2 Sb4 Pd14'
_symmetry_space_group_name_H-M 'I 4/m m m'
_symmetry_Int_Tables_number 139
_symmetry_space_group_name_Hall '-I 4 2'
_cell_length_a 4.133
_cell_length_b 4.133
_cell_length_c 22.097
_cell_angle_alpha 90.00
_cell_angle_beta 90.00
_cell_angle_gamma 90.00
loop_
_atom_site_label
_atom_site_type_symbol
_atom_site_fract_x
_atom_site_fract_y
_atom_site_fract_z
Dy1 Dy 0.000 0.000 0.000
Sb1 Sb 0.000 0.000 0.329
Pd1 Pd 0.000 0.000 0.500
Pd2 Pd 0.000 0.500 0.094
Pd3 Pd 0.000 0.500 0.250
```

Calculated values
The formation energy without anion corrections is -0.60 eV/atom. The calculation puts the total magnetic moment at 0.000 μB/atom. Its total energy is -5.52 eV per atom. Its energy above the most stable polymorph in this dataset is 0.000 eV per atom.



Computed, not measured: KMgSc2 after structural relaxation at the GGA-PBE level of DFT.

```
data_KMgSc2
_chemical_formula_sum 'K2 Mg2 Sc4'
_symmetry_space_group_name_H-M 'I m m 2'
_symmetry_Int_Tables_number 44
_symmetry_space_group_name_Hall 'I 2 -2'
_cell_length_a 3.411
_cell_length_b 5.942
_cell_length_c 11.747
_cell_angle_alpha 90.00
_cell_angle_beta 90.00
_cell_angle_gamma 90.00
loop_
_atom_site_label
_atom_site_type_symbol
_atom_site_fract_x
_atom_site_fract_y
_atom_site_fract_z
K1 K 0.000 0.000 0.000
Mg1 Mg 0.000 0.500 0.760
Sc1 Sc 0.000 0.000 0.487
Sc2 Sc 0.000 0.500 0.217
```

Calculated values
The calculation puts the total magnetic moment at 0.231 μB/atom. For the formation energy, the calculation gives 0.5044 eV/atom. Its total energy is -3.33 eV per atom.



Computed, not measured: TiFeCoMo after structural relaxation at the GGA-PBE level of DFT.

```
data_TiFeCoMo
_chemical_formula_sum 'Ti4 Fe4 Co4 Mo4'
_symmetry_space_group_name_H-M 'F -4 3 m'
_symmetry_Int_Tables_number 216
_symmetry_space_group_name_Hall 'F -4 2 3'
_cell_length_a 5.982
_cell_length_b 5.982
_cell_length_c 5.982
_cell_angle_alpha 90.00
_cell_angle_beta 90.00
_cell_angle_gamma 90.00
loop_
_atom_site_label
_atom_site_type_symbol
_atom_site_fract_x
_atom_site_fract_y
_atom_site_fract_z
Ti1 Ti 0.000 0.000 0.000
Fe1 Fe 0.250 0.250 0.750
Co1 Co 0.250 0.250 0.250
Mo1 Mo 0.000 0.000 0.500
```

Calculated values
The calculation puts the total magnetic moment at 0.656 μB/atom. For the formation energy, the calculation gives -0.0805 eV/atom. Its total energy is -8.65 eV per atom.



Computed, not measured: KLa3Tc after structural relaxation at the GGA-PBE level of DFT.

```
data_KLa3Tc
_chemical_formula_sum 'K1 La3 Tc1'
_symmetry_space_group_name_H-M 'P m -3 m'
_symmetry_Int_Tables_number 221
_symmetry_space_group_name_Hall '-P 4 2 3'
_cell_length_a 5.704
_cell_length_b 5.704
_cell_length_c 5.704
_cell_angle_alpha 90.00
_cell_angle_beta 90.00
_cell_angle_gamma 90.00
loop_
_atom_site_label
_atom_site_type_symbol
_atom_site_fract_x
_atom_site_fract_y
_atom_site_fract_z
K1 K 0.000 0.000 0.000
La1 La 0.000 0.500 0.500
Tc1 Tc 0.500 0.500 0.500
```

Calculated values
The calculation puts the total magnetic moment at 0.000 μB/atom. For the formation energy, the calculation gives 0.1478 eV/atom. Its total energy is -5.10 eV per atom.



Computed, not measured: Mn2Pd9Pb after structural relaxation at the GGA-PBE level of DFT.

```
data_Mn2Pd9Pb
_chemical_formula_sum 'Mn2 Pd9 Pb1'
_symmetry_space_group_name_H-M 'P 4/m m m'
_symmetry_Int_Tables_number 123
_symmetry_space_group_name_Hall '-P 4 2'
_cell_length_a 3.996
_cell_length_b 3.996
_cell_length_c 11.902
_cell_angle_alpha 90.00
_cell_angle_beta 90.00
_cell_angle_gamma 90.00
loop_
_atom_site_label
_atom_site_type_symbol
_atom_site_fract_x
_atom_site_fract_y
_atom_site_fract_z
Mn1 Mn 0.000 0.000 0.160
Pd1 Pd 0.000 0.500 0.000
Pd2 Pd 0.000 0.500 0.321
Pd3 Pd 0.500 0.500 0.161
Pd4 Pd 0.500 0.500 0.500
Pb1 Pb 0.000 0.000 0.500
```

Calculated values
The calculation puts the total magnetic moment at 0.746 μB/atom. For the formation energy, the calculation gives -0.2315 eV/atom. Its total energy is -5.96 eV per atom.